First-principles (GGA-PBE) data for a geometry-optimized LiNd2Rh structure, as listed in Alexandria via LeMat-Bulk.

Geometry as CIF:
```
data_LiNd2Rh
_cell_length_a 4.0253
_cell_length_b 4.0413
_cell_length_c 8.8904
_cell_angle_alpha 102.74
_cell_angle_beta 90.01
_cell_angle_gamma 119.80
_space_group_name_H-M_alt 'P 1'
_space_group_IT_number 1
loop_
_space_group_symop_operation_xyz
'x,y,z'
loop_
_atom_site_label
_atom_site_fract_x
_atom_site_fract_y
_atom_site_fract_z
Li1 0.0000 0.0000 0.0000
Nd1 0.2277 0.4551 0.6852
Nd2 0.7738 0.5448 0.3144
Rh1 0.5008 0.0000 0.4998
```

Values from the calculation:
Total DFT energy (no corrections) ... -19.9 eV per cell
V ... 30.343 Å³/atom
Formation enthalpy at 0 K ... -0.2808 eV/atom

***

First-principles (GGA-PBE) data for a geometry-optimized Na3NbAs structure, as listed in Alexandria via LeMat-Bulk.

Geometry as CIF:
```
data_Na3NbAs
_cell_length_a 5.4937
_cell_length_b 5.4937
_cell_length_c 5.4937
_cell_angle_alpha 90.00
_cell_angle_beta 90.00
_cell_angle_gamma 90.00
_space_group_name_H-M_alt 'P m -3 m'
_space_group_IT_number 221
_space_group_name_Hall '-P 4 2 3'
loop_
_atom_site_label
_atom_site_fract_x
_atom_site_fract_y
_atom_site_fract_z
Na1 0.0000 0.0000 0.5000
Nb1 0.5000 0.5000 0.5000
As1 0.0000 0.0000 0.0000
```

Values from the calculation:
Total DFT energy (no corrections) ... -14.3 eV per cell
V ... 33.161 Å³/atom
Formation enthalpy at 0 K ... 0.8655 eV/atom
Excess energy over the best structure of this formula in the dataset ... 0.0000 eV per atom

***

Which value of formation enthalpy at 0 K does entry 2 give? 0.8655 eV/atom